(1)
# AcFePb2O6

A relaxed structure of AcFePb2O6 (PBE with a Hubbard U, Alexandria via LeMat-Bulk).

CIF file:
```
data_AcFePb2O6
_chemical_formula_sum 'Ac3 Fe3 Pb6 O18'
_cell_length_a 5.7626
_cell_length_b 5.7626
_cell_length_c 16.4641
_cell_angle_alpha 90.00
_cell_angle_beta 90.00
_cell_angle_gamma 120.00
_space_group_name_H-M_alt 'R 3'
_space_group_IT_number 146
_space_group_name_Hall 'R 3'
loop_
_atom_site_label
_atom_site_fract_x
_atom_site_fract_y
_atom_site_fract_z
_atom_site_occupancy
Ac1 0.0000 0.0000 0.0000 1
Fe1 0.0000 0.0000 0.4790 1
Pb1 0.0000 0.0000 0.2594 1
Pb2 0.0000 0.0000 0.7905 1
O1 0.9995 0.3984 0.2108 1
O2 0.0300 0.7299 0.3972 1
```

Results
total magnetization: 14.963 μB/cell
uncorrected energy: -63.275 eV/f.u.



(2)
# AcFe2PdO8

A relaxed structure of AcFe2PdO8 (PBE with a Hubbard U, Alexandria via LeMat-Bulk).

CIF file:
```
data_AcFe2PdO8
_chemical_formula_sum 'Ac1 Fe2 Pd1 O8'
_cell_length_a 5.1566
_cell_length_b 5.1566
_cell_length_c 6.9644
_cell_angle_alpha 90.00
_cell_angle_beta 90.00
_cell_angle_gamma 120.00
_space_group_name_H-M_alt 'P -3'
_space_group_IT_number 147
loop_
_space_group_symop_operation_xyz
'x,y,z'
'-x,-y,-z'
'-y,x-y,z'
'y,-x+y,-z'
'-x+y,-x,z'
'x-y,x,-z'
loop_
_atom_site_label
_atom_site_fract_x
_atom_site_fract_y
_atom_site_fract_z
_atom_site_occupancy
Ac1 0.0000 0.0000 0.0000 1
Fe1 0.3333 0.6667 0.7119 1
Pd1 0.0000 0.0000 0.5000 1
O1 0.0047 0.7026 0.3202 1
O2 0.3333 0.6667 0.9636 1
```

Results
total magnetization: 6.998 μB/cell
uncorrected energy: -73.744 eV/f.u.



(3)
# Ac2FePdO6

A relaxed structure of Ac2FePdO6 (PBE with a Hubbard U, Alexandria via LeMat-Bulk).

CIF file:
```
data_Ac2FePdO6
_chemical_formula_sum 'Ac2 Fe1 Pd1 O6'
_cell_length_a 5.6920
_cell_length_b 5.6920
_cell_length_c 4.0964
_cell_angle_alpha 90.00
_cell_angle_beta 90.00
_cell_angle_gamma 90.00
_space_group_name_H-M_alt 'P 4/m m m'
_space_group_IT_number 123
_space_group_name_Hall '-P 4 2'
loop_
_atom_site_label
_atom_site_fract_x
_atom_site_fract_y
_atom_site_fract_z
_atom_site_occupancy
Ac1 0.0000 0.5000 0.0000 1
Fe1 0.0000 0.0000 0.5000 1
Pd1 0.5000 0.5000 0.5000 1
O1 0.0000 0.0000 0.0000 1
O2 0.2453 0.2453 0.5000 1
O3 0.5000 0.5000 0.0000 1
```

Results
total magnetization: 4.347 μB/cell
uncorrected energy: -70.254 eV/f.u.